# LiRhC3, relaxed, DFT PBE
# SG: Pm-3m (221)
# Calculated total energy in eV for the cell shown: -23.01
# N(E_F) in states/eV/cell: 1.1
# Energy above the most stable polymorph in this dataset in meV/atom: 693
# Volume in Å³ per cell: 47.0
# ΔH_f (0 K) in eV per atom: 2.785
data_LiRhC3
_symmetry_space_group_name_H-M 'P 1'
_symmetry_Int_Tables_number 1
_cell_length_a 3.610
_cell_length_b 3.610
_cell_length_c 3.610
_cell_angle_alpha 90.00
_cell_angle_beta 90.00
_cell_angle_gamma 90.00
loop_
_symmetry_equiv_pos_as_xyz
'x,y,z'
loop_
_atom_site_label
_atom_site_fract_x
_atom_site_fract_y
_atom_site_fract_z
C1 0.000 0.500 0.000
C2 0.000 0.000 0.500
C3 0.500 0.000 0.000
Rh1 0.500 0.500 0.500
Li1 0.000 0.000 0.000